No. 1
{
  "formula": "CdPb2Cl",
  "functional": "PBE",
  "state": "relaxed",
  "cell": [[-0.4984, 2.8851, -2.0282], [-2.4036, -2.6153, -0.2619], [-5.4335, 4.2540, 7.3865]],
  "species": ["Pb", "Cl", "Pb", "Cd"],
  "fractional_positions": [[0.0000, 0.0000, 0.9904], [0.5000, 0.5000, 0.7131], [0.5000, 0.5000, 0.2731], [0.0000, 0.0000, 0.5235]],
  "crystal_system": "orthorhombic",
  "sg": "Cmm2",
  "relative_energy_ev_per_atom": 0.036
}

No. 2
{
  "formula": "CdPb2Cl",
  "functional": "PBE",
  "state": "relaxed",
  "cell": [[5.3798, 0.0000, 0.0000], [2.6899, 4.6590, 0.0000], [2.6899, 1.5530, 4.3926]],
  "species": ["Pb", "Pb", "Cl", "Cd"],
  "fractional_positions": [[0.2500, 0.2500, 0.2500], [0.0000, 0.0000, 0.0000], [0.7500, 0.7500, 0.7500], [0.5000, 0.5000, 0.5000]],
  "crystal_system": "cubic",
  "sg": "F-43m",
  "relative_energy_ev_per_atom": 0.136
}

No. 3
{
  "formula": "Cd2PbCl",
  "functional": "PBE",
  "state": "relaxed",
  "cell": [[-2.4577, -2.0375, 1.1390], [1.4896, -0.0955, 3.0432], [-4.6525, 7.0078, 2.4971]],
  "species": ["Cd", "Pb", "Cl", "Cd"],
  "fractional_positions": [[0.5000, 0.5000, 0.2538], [0.5000, 0.5000, 0.7530], [0.0000, 0.0000, 0.4655], [0.0000, 0.0000, 0.0277]],
  "crystal_system": "tetragonal",
  "sg": "P4mm",
  "relative_energy_ev_per_atom": 0.038
}

No. 4
{
  "formula": "Cd2PbCl",
  "functional": "PBE",
  "state": "relaxed",
  "cell": [[1.9958, 0.8705, 4.8642], [-1.4479, 4.3373, 2.7373], [-3.1281, -0.4765, 4.2882]],
  "species": ["Cd", "Cd", "Cl", "Pb"],
  "fractional_positions": [[0.2500, 0.2500, 0.2500], [0.7500, 0.7500, 0.7500], [0.0000, 0.0000, 0.0000], [0.5000, 0.5000, 0.5000]],
  "crystal_system": "cubic",
  "sg": "Fm-3m",
  "relative_energy_ev_per_atom": 0.215
}

No. 5
{
  "formula": "CdPb2Cl",
  "functional": "PBE",
  "state": "relaxed",
  "cell": [[-0.3745, 0.6873, -3.4414], [5.4935, -2.1839, -1.0340], [3.4063, -7.0189, -1.7725]],
  "species": ["Pb", "Cl", "Pb", "Cd"],
  "fractional_positions": [[0.0000, 0.0000, 0.0000], [0.0000, 0.0000, 0.5000], [0.5000, 0.5000, 0.0000], [0.5000, 0.5000, 0.5000]],
  "crystal_system": "monoclinic",
  "sg": "P2/m",
  "relative_energy_ev_per_atom": 0.022
}

No. 6
{
  "formula": "RbCdPb2Cl8",
  "functional": "PBE",
  "state": "relaxed",
  "cell": [[6.7109, 0.1347, -0.0045], [0.2117, 6.5303, -0.0072], [0.0065, 0.0103, 8.9563]],
  "species": ["Cl", "Cl", "Cd", "Pb", "Cl", "Cl", "Cl", "Rb", "Pb", "Cl", "Cl", "Cl"],
  "fractional_positions": [[0.3300, 0.2687, 0.0000], [0.3706, 0.2886, 0.5000], [0.0000, 0.0000, 0.0000], [0.5000, 0.5000, 0.2398], [0.1623, 0.7691, 0.7924], [0.6294, 0.7114, 0.5000], [0.8379, 0.2310, 0.7924], [0.0000, 0.0000, 0.5000], [0.5000, 0.5000, 0.7602], [0.1621, 0.7690, 0.2076], [0.6700, 0.7313, 0.0000], [0.8377, 0.2309, 0.2076]],
  "crystal_system": "monoclinic",
  "sg": "P2/m"
}

Across the entries above, energy relative to the elements, uncorrected takes the values -0.238 -0.138 -0.218 -0.041 -0.252 -1.118 eV/atom, respectively.
Across the entries above, total magnetization takes the values 0.00 0.00 0.00 0.00 0.00 0.00 μB/cell, respectively.